## Ga2Sn2Au (GGA-PBE)

Data for a relaxed Ga2Sn2Au crystal.

Lattice parameters (Å, degrees): 6.731 6.731 4.991 90.00 90.00 90.00
Positions (direct):
Au  0.000  0.000  0.000
Au  0.500  0.500  0.000
Sn  0.174  0.674  0.500
Sn  0.674  0.826  0.500
Sn  0.826  0.326  0.500
Sn  0.326  0.174  0.500
Ga  0.364  0.864  0.000
Ga  0.864  0.636  0.000
Ga  0.636  0.136  0.000
Ga  0.136  0.364  0.000

Distance to the lowest polymorph of the same formula (meV per atom): 0
Formation energy from the elements (meV per atom): -26
E (eV per cell): -34.93
Magnetization (μB/f.u.): 0.0

***

## GaSnAu3 (GGA-PBE)

Data for a relaxed GaSnAu3 crystal.

Lattice parameters (Å, degrees): 4.241 8.831 10.041 146.00 90.00 90.00
Positions (direct):
Ga  0.250  0.126  0.277
Ga  0.750  0.874  0.723
Sn  0.250  0.480  0.841
Sn  0.750  0.520  0.159
Au  0.750  0.130  0.674
Au  0.750  0.373  0.573
Au  0.250  0.870  0.326
Au  0.250  0.627  0.427
Au  0.250  0.786  0.817
Au  0.750  0.214  0.183

Distance to the lowest polymorph of the same formula (meV per atom): 0
Formation energy from the elements (meV per atom): -132
E (eV per cell): -35.04
Magnetization (μB/f.u.): 0.0

***

## Ga2SnAu (GGA-PBE)

Data for a relaxed Ga2SnAu crystal.

Lattice parameters (Å, degrees): 4.515 4.289 4.289 90.00 90.00 90.00
Positions (direct):
Au  0.500  0.500  0.500
Sn  0.500  0.000  0.000
Ga  0.000  0.000  0.500
Ga  0.000  0.500  0.000

Formation energy from the elements (meV per atom): 2
E (eV per cell): -13.33
Magnetization (μB/f.u.): 0.0

***

## Ga3SnAu3 (GGA-PBE)

Data for a relaxed Ga3SnAu3 crystal.

Lattice parameters (Å, degrees): 7.135 7.135 7.135 90.00 90.00 90.00
Positions (direct):
Au  0.000  0.250  0.500
Au  0.000  0.750  0.500
Au  0.500  0.000  0.750
Au  0.750  0.500  0.000
Au  0.500  0.000  0.250
Au  0.250  0.500  0.000
Sn  0.500  0.500  0.500
Sn  0.000  0.000  0.000
Ga  0.250  0.000  0.500
Ga  0.000  0.500  0.250
Ga  0.500  0.750  0.000
Ga  0.750  0.000  0.500
Ga  0.000  0.500  0.750
Ga  0.500  0.250  0.000

Distance to the lowest polymorph of the same formula (meV per atom): 231
Formation energy from the elements (meV per atom): 117
E (eV per cell): -44.19
Magnetization (μB/f.u.): 0.0